An optimized crystal structure of NiSe2SN, computed with GGA-PBE.

```
data_NiSe2SN
_cell_length_a 4.951
_cell_length_b 4.951
_cell_length_c 3.392
_cell_angle_alpha 90.00
_cell_angle_beta 90.00
_cell_angle_gamma 90.00
_space_group_name_H-M_alt 'P 4/m m m'
_space_group_IT_number 123
_space_group_name_Hall '-P 4 2'
loop_
_atom_site_label
_atom_site_fract_x
_atom_site_fract_y
_atom_site_fract_z
_atom_site_occupancy
Ni1 0.000 0.000 0.000 1
Se1 0.000 0.500 0.000 1
S1 0.500 0.500 0.500 1
N1 0.000 0.000 0.500 1
```

Output
- DFT total energy (eV for the cell shown) = -21.268
- energy above the lowest structure with this stoichiometry (meV per atom) = 0
- raw formation energy (kJ/mol of formula units) = 380